No. 1
Eu2SO6: optimized geometry, GGA-PBEsol.

```
Eu2SO6
1.0
4.202 0.000 0.000
-2.101 6.789 -0.010
0.000 -2.488 7.757
O S Eu
12 2 4
Direct
0.774 0.510 0.878
0.762 0.811 0.203
0.226 0.490 0.122
0.262 0.998 0.102
0.736 0.510 0.378
0.049 0.811 0.703
0.951 0.189 0.297
0.264 0.490 0.622
0.738 0.002 0.898
0.238 0.189 0.797
0.736 0.998 0.602
0.264 0.002 0.398
0.054 0.000 0.250
0.946 0.000 0.750
0.340 0.661 0.916
0.679 0.339 0.584
0.660 0.339 0.084
0.321 0.661 0.416
```

Computed properties:
The total magnetization comes out at 24.000 μB per cell. Its uncorrected formation energy is -2070 kJ/mol of formula units.

---

No. 2
EuSbO4: optimized geometry, GGA-PBEsol.

```
EuSbO4
1.0
-2.929 -0.238 4.557
-1.316 -7.349 -1.230
6.436 -0.554 4.109
O Sb Eu
16 4 4
Direct
0.996 0.127 0.165
0.091 0.806 0.436
0.129 0.560 0.668
0.409 0.306 0.436
0.004 0.873 0.835
0.871 0.440 0.332
0.591 0.694 0.564
0.984 0.669 0.120
0.371 0.060 0.668
0.629 0.940 0.332
0.504 0.627 0.165
0.016 0.331 0.880
0.909 0.194 0.564
0.516 0.169 0.120
0.484 0.831 0.880
0.496 0.373 0.835
0.230 0.305 0.662
0.730 0.195 0.338
0.270 0.805 0.662
0.770 0.695 0.338
0.771 0.605 0.857
0.729 0.105 0.857
0.271 0.895 0.143
0.229 0.395 0.143
```

Computed properties:
The total magnetization comes out at 24.000 μB per cell. Its uncorrected formation energy is -1229 kJ/mol of formula units.

---

No. 3
Sr2EuSbO6: optimized geometry, GGA-PBEsol.

```
Sr2EuSbO6
1.0
-3.227 -4.156 2.731
2.690 -4.522 2.730
-0.019 -0.324 5.919
O Eu Sr Sb
6 1 2 1
Direct
0.264 0.264 0.736
0.264 0.736 0.736
0.736 0.264 0.736
0.264 0.736 0.264
0.736 0.264 0.264
0.736 0.736 0.264
0.000 0.000 0.000
0.750 0.750 0.750
0.250 0.250 0.250
0.500 0.500 0.500
```

Computed properties:
The total magnetization comes out at 6.000 μB per cell. Its uncorrected formation energy is -2369 kJ/mol of formula units.

---

> What is the total magnetization in the second record?

24.000 μB per cell

---

> Among the records above, which one has the lowest total magnetization?

Sr2EuSbO6